1.
Below is a relaxed structure of CdIn2Se, with properties calculated at the PBE level.

Cell and atoms, written as CIF:
```
data_CdIn2Se
_symmetry_space_group_name_H-M 'C 1 2/m 1'
_symmetry_Int_Tables_number 12
_symmetry_space_group_name_Hall '-C 2y'
_cell_length_a 6.390
_cell_length_b 8.309
_cell_length_c 4.048
_cell_angle_alpha 90.00
_cell_angle_beta 104.12
_cell_angle_gamma 90.00
loop_
_atom_site_label
_atom_site_fract_x
_atom_site_fract_y
_atom_site_fract_z
_atom_site_occupancy
Cd1 0.000 0.000 0.000 1
In1 0.250 0.250 0.500 1
Se1 0.000 0.500 0.000 1
```

Output
excess energy over the best structure of this formula in the dataset = 105.3 meV/atom
density of states at the Fermi level = 0.476 states/eV/atom
formation energy without anion corrections = -0.09 eV per atom

2.
Below is a relaxed structure of PrHo4Zn4, with properties calculated at the PBE level.

Cell and atoms, written as CIF:
```
data_PrHo4Zn4
_symmetry_space_group_name_H-M 'P 42/n'
_symmetry_Int_Tables_number 86
_cell_length_a 9.204
_cell_length_b 9.204
_cell_length_c 5.360
_cell_angle_alpha 90.00
_cell_angle_beta 90.00
_cell_angle_gamma 90.00
loop_
_symmetry_equiv_pos_as_xyz
'x,y,z'
'-x,-y,-z'
'-y,x+1/2,z+1/2'
'y,-x+1/2,-z+1/2'
'-x+1/2,-y+1/2,z'
'x+1/2,y+1/2,-z'
'y+1/2,-x,z+1/2'
'-y+1/2,x,-z+1/2'
loop_
_atom_site_label
_atom_site_fract_x
_atom_site_fract_y
_atom_site_fract_z
_atom_site_occupancy
Pr1 0.250 0.250 0.250 1
Ho1 0.100 0.840 0.629 1
Zn1 0.035 0.130 0.869 1
```

Output
density of states at the Fermi level = 0.839 states/eV/atom
formation energy = -0.091 eV/atom

3.
Below is a relaxed structure of Na2TmGaO4, with properties calculated at the PBE level.

Cell and atoms, written as CIF:
```
data_Na2TmGaO4
_symmetry_space_group_name_H-M 'P 1 2/m 1'
_symmetry_Int_Tables_number 10
_symmetry_space_group_name_Hall '-P 2y'
_cell_length_a 5.496
_cell_length_b 3.222
_cell_length_c 5.830
_cell_angle_alpha 90.00
_cell_angle_beta 108.64
_cell_angle_gamma 90.00
loop_
_atom_site_label
_atom_site_fract_x
_atom_site_fract_y
_atom_site_fract_z
_atom_site_occupancy
Na1 0.000 0.000 0.000 1
Na2 0.500 0.500 0.000 1
Tm1 0.000 0.500 0.500 1
Ga1 0.500 0.000 0.500 1
O1 0.253 0.000 0.707 1
O2 0.282 0.500 0.296 1
```

Output
density of states at the Fermi level = 0.000 states/eV/atom
formation energy without anion corrections = -2.27 eV per atom

4.
Below is a relaxed structure of Ac3Dy2Y3, with properties calculated at the PBE level.

Cell and atoms, written as CIF:
```
data_Ac3Dy2Y3
_symmetry_space_group_name_H-M 'P 63/m c m'
_symmetry_Int_Tables_number 193
_symmetry_space_group_name_Hall '-P 6c 2'
_cell_length_a 10.1029
_cell_length_b 10.1029
_cell_length_c 6.7935
_cell_angle_alpha 90.00
_cell_angle_beta 90.00
_cell_angle_gamma 120.00
loop_
_atom_site_label
_atom_site_fract_x
_atom_site_fract_y
_atom_site_fract_z
_atom_site_occupancy
Ac1 0.0000 0.2339 0.2500 1
Dy1 0.3333 0.6667 0.0000 1
Y1 0.0000 0.4152 0.7500 1
```

Output
density of states at the Fermi level = 2.437 states/eV/atom
formation energy = 0.188 eV/atom

5.
Below is a relaxed structure of Sc2CoNiH, with properties calculated at the PBE level.

Cell and atoms, written as CIF:
```
data_Sc2CoNiH
_symmetry_space_group_name_H-M 'P 4/m m m'
_symmetry_Int_Tables_number 123
_symmetry_space_group_name_Hall '-P 4 2'
_cell_length_a 4.434
_cell_length_b 4.434
_cell_length_c 3.317
_cell_angle_alpha 90.00
_cell_angle_beta 90.00
_cell_angle_gamma 90.00
loop_
_atom_site_label
_atom_site_fract_x
_atom_site_fract_y
_atom_site_fract_z
_atom_site_occupancy
Sc1 0.000 0.500 0.000 1
Co1 0.000 0.000 0.500 1
Ni1 0.500 0.500 0.500 1
H1 0.500 0.500 0.000 1
```

Output
excess energy over the best structure of this formula in the dataset = 20.6 meV/atom
density of states at the Fermi level = 0.491 states/eV/atom

6.
Below is a relaxed structure of PmMg6Pb6, with properties calculated at the PBE level.

Cell and atoms, written as CIF:
```
data_PmMg6Pb6
_symmetry_space_group_name_H-M 'I m m m'
_symmetry_Int_Tables_number 71
_symmetry_space_group_name_Hall '-I 2 2'
_cell_length_a 6.328
_cell_length_b 10.167
_cell_length_c 10.832
_cell_angle_alpha 90.00
_cell_angle_beta 90.00
_cell_angle_gamma 90.00
loop_
_atom_site_label
_atom_site_fract_x
_atom_site_fract_y
_atom_site_fract_z
_atom_site_occupancy
Pm1 0.000 0.000 0.000 1
Mg1 0.000 0.240 0.500 1
Mg2 0.250 0.250 0.250 1
Pb1 0.000 0.000 0.320 1
Pb2 0.000 0.338 0.000 1
Pb3 0.000 0.500 0.343 1
```

Output
excess energy over the best structure of this formula in the dataset = 0.0 meV/atom
density of states at the Fermi level = 0.621 states/eV/atom
formation energy = -0.101 eV/atom

7.
Below is a relaxed structure of NaCa2MnCl8, with properties calculated at the PBE level.

Cell and atoms, written as CIF:
```
data_NaCa2MnCl8
_symmetry_space_group_name_H-M 'P 1 2/m 1'
_symmetry_Int_Tables_number 10
_symmetry_space_group_name_Hall '-P 2y'
_cell_length_a 6.148
_cell_length_b 8.067
_cell_length_c 6.523
_cell_angle_alpha 90.00
_cell_angle_beta 91.32
_cell_angle_gamma 90.00
loop_
_atom_site_label
_atom_site_fract_x
_atom_site_fract_y
_atom_site_fract_z
_atom_site_occupancy
Na1 0.000 0.000 0.000 1
Ca1 0.500 0.256 0.500 1
Mn1 0.000 0.500 0.000 1
Cl1 0.211 0.294 0.149 1
Cl2 0.259 0.500 0.672 1
Cl3 0.289 0.000 0.676 1
```

Output
formation energy without anion corrections = -1.78 eV per atom

8.
Below is a relaxed structure of Zr2SiS, with properties calculated at the PBE level.

Cell and atoms, written as CIF:
```
data_Zr2SiS
_symmetry_space_group_name_H-M 'I -4 2 d'
_symmetry_Int_Tables_number 122
_symmetry_space_group_name_Hall 'I -4 2bw'
_cell_length_a 5.853
_cell_length_b 5.853
_cell_length_c 11.984
_cell_angle_alpha 90.00
_cell_angle_beta 90.00
_cell_angle_gamma 90.00
loop_
_atom_site_label
_atom_site_fract_x
_atom_site_fract_y
_atom_site_fract_z
_atom_site_occupancy
Zr1 0.242 0.250 0.125 1
Si1 0.000 0.000 0.500 1
S1 0.000 0.000 0.000 1
```

Output
excess energy over the best structure of this formula in the dataset = 679.8 meV/atom
density of states at the Fermi level = 0.731 states/eV/atom
formation energy without anion corrections = -0.40 eV per atom

9.
Below is a relaxed structure of PrDyTh, with properties calculated at the PBE level.

Cell and atoms, written as CIF:
```
data_PrDyTh
_symmetry_space_group_name_H-M 'C 1 2/m 1'
_symmetry_Int_Tables_number 12
_symmetry_space_group_name_Hall '-C 2y'
_cell_length_a 6.245
_cell_length_b 3.606
_cell_length_c 17.855
_cell_angle_alpha 90.00
_cell_angle_beta 96.73
_cell_angle_gamma 90.00
loop_
_atom_site_label
_atom_site_fract_x
_atom_site_fract_y
_atom_site_fract_z
_atom_site_occupancy
Pr1 0.195 0.000 0.088 1
Dy1 0.081 0.000 0.742 1
Th1 0.140 0.500 0.420 1
```

Output
excess energy over the best structure of this formula in the dataset = 17.8 meV/atom
density of states at the Fermi level = 1.451 states/eV/atom
formation energy = 0.026 eV/atom

10.
Below is a relaxed structure of PaNb2Tl2S6, with properties calculated at the PBE level.

Cell and atoms, written as CIF:
```
data_PaNb2Tl2S6
_symmetry_space_group_name_H-M 'C 1 2/m 1'
_symmetry_Int_Tables_number 12
_symmetry_space_group_name_Hall '-C 2y'
_cell_length_a 6.482
_cell_length_b 10.629
_cell_length_c 8.058
_cell_angle_alpha 90.00
_cell_angle_beta 101.47
_cell_angle_gamma 90.00
loop_
_atom_site_label
_atom_site_fract_x
_atom_site_fract_y
_atom_site_fract_z
_atom_site_occupancy
Pa1 0.000 0.000 0.000 1
Nb1 0.000 0.363 0.000 1
Tl1 0.000 0.178 0.500 1
S1 0.220 0.500 0.210 1
S2 0.228 0.178 0.182 1
```

Output
density of states at the Fermi level = 0.410 states/eV/atom
formation energy without anion corrections = -1.02 eV per atom

11.
Below is a relaxed structure of KBeAu3, with properties calculated at the PBE level.

Cell and atoms, written as CIF:
```
data_KBeAu3
_symmetry_space_group_name_H-M 'P n m a'
_symmetry_Int_Tables_number 62
_symmetry_space_group_name_Hall '-P 2ac 2n'
_cell_length_a 8.415
_cell_length_b 4.328
_cell_length_c 11.129
_cell_angle_alpha 90.00
_cell_angle_beta 90.00
_cell_angle_gamma 90.00
loop_
_atom_site_label
_atom_site_fract_x
_atom_site_fract_y
_atom_site_fract_z
_atom_site_occupancy
K1 0.153 0.250 0.002 1
Be1 0.098 0.250 0.356 1
Au1 0.067 0.250 0.569 1
Au2 0.131 0.750 0.763 1
Au3 0.148 0.750 0.242 1
```

Output
excess energy over the best structure of this formula in the dataset = 1.6 meV/atom
density of states at the Fermi level = 0.428 states/eV/atom
formation energy = -0.127 eV/atom

12.
Below is a relaxed structure of K2CdMo, with properties calculated at the PBE level.

Cell and atoms, written as CIF:
```
data_K2CdMo
_symmetry_space_group_name_H-M 'P 1 2/m 1'
_symmetry_Int_Tables_number 10
_symmetry_space_group_name_Hall '-P 2y'
_cell_length_a 3.715
_cell_length_b 5.587
_cell_length_c 6.421
_cell_angle_alpha 90.00
_cell_angle_beta 90.72
_cell_angle_gamma 90.00
loop_
_atom_site_label
_atom_site_fract_x
_atom_site_fract_y
_atom_site_fract_z
_atom_site_occupancy
K1 0.002 0.000 0.250 1
Cd1 0.500 0.500 0.000 1
Mo1 0.500 0.500 0.500 1
```

Output
density of states at the Fermi level = 0.755 states/eV/atom
formation energy = 1.105 eV/atom

no.,spin magnetization (μB/f.u.),energy (eV/cell)
1,0.000,-20.5
2,0.000,-58.0
3,0.000,-48.1
4,0.151,-78.8
5,0.539,-31.0
6,0.000,-75.8
7,4.000,-50.7
8,0.000,-113.0
9,0.000,-66.9
10,0.683,-140.7
11,0.000,-61.2
12,4.155,-9.5